Entry 1:
Compound: HfTl3
Source: the Alexandria database
Functional: GGA-PBE
Structure: relaxed

Unit cell a=4.395 b=4.395 c=10.258 alpha=90.00 beta=90.00 gamma=90.00
Positions (direct):
Hf1 0.000 0.000 0.000
Hf2 0.500 0.500 0.500
Tl1 0.000 0.000 0.500
Tl2 0.000 0.500 0.250
Tl3 0.000 0.500 0.750
Tl4 0.500 0.000 0.250
Tl5 0.500 0.000 0.750
Tl6 0.500 0.500 0.000

## Properties
The formation energy comes out at 0.265 eV/atom.

---

Entry 2:
Compound: Hf3Tl2
Source: the Alexandria database
Functional: GGA-PBE
Structure: relaxed

Unit cell a=6.853 b=6.853 c=5.644 alpha=100.80 beta=100.80 gamma=104.24
Positions (direct):
Hf1 0.000 0.500 0.000
Hf2 0.105 0.218 0.477
Hf3 0.218 0.105 0.977
Hf4 0.500 0.000 0.500
Hf5 0.782 0.895 0.023
Hf6 0.895 0.782 0.523
Tl1 0.291 0.709 0.750
Tl2 0.428 0.572 0.250
Tl3 0.572 0.428 0.750
Tl4 0.709 0.291 0.250

## Properties
The formation energy comes out at 0.393 eV/atom.

---

Entry 3:
Compound: Hf2Tl
Source: the Alexandria database
Functional: GGA-PBE
Structure: relaxed

Unit cell a=3.276 b=3.276 c=22.697 alpha=90.00 beta=90.00 gamma=120.00
Positions (direct):
Hf1 0.000 0.000 0.000
Hf2 0.000 0.000 0.229
Hf3 0.333 0.667 0.667
Hf4 0.333 0.667 0.895
Hf5 0.667 0.333 0.333
Hf6 0.667 0.333 0.562
Tl1 0.000 0.000 0.448
Tl2 0.333 0.667 0.115
Tl3 0.667 0.333 0.781

## Properties
The formation energy comes out at 0.008 eV/atom. Its energy above the most stable polymorph in this dataset is 0 meV/atom.

---

Entry 4:
Compound: Hf2Tl
Source: the Alexandria database
Functional: GGA-PBE
Structure: relaxed

Unit cell a=3.535 b=3.535 c=10.825 alpha=90.00 beta=90.00 gamma=90.00
Positions (direct):
Hf1 0.000 0.000 0.168
Hf2 0.000 0.000 0.832
Hf3 0.500 0.500 0.332
Hf4 0.500 0.500 0.668
Tl1 0.000 0.000 0.500
Tl2 0.500 0.500 0.000

## Properties
The formation energy comes out at 0.020 eV/atom. Its energy above the most stable polymorph in this dataset is 11 meV/atom.

---

Entry 5:
Compound: HfTl3
Source: the Alexandria database
Functional: GGA-PBE
Structure: relaxed

Unit cell a=3.334 b=10.639 c=5.674 alpha=90.00 beta=90.00 gamma=90.00
Positions (direct):
Hf1 0.000 0.000 0.000
Hf2 0.500 0.500 0.500
Tl1 0.000 0.262 0.686
Tl2 0.000 0.500 0.033
Tl3 0.000 0.738 0.686
Tl4 0.500 0.000 0.533
Tl5 0.500 0.238 0.186
Tl6 0.500 0.762 0.186

## Properties
The formation energy comes out at 0.184 eV/atom.

---

Entry 6:
Compound: Hf3Tl
Source: the Alexandria database
Functional: GGA-PBE
Structure: relaxed

Unit cell a=4.332 b=4.332 c=9.450 alpha=90.00 beta=90.00 gamma=90.00
Positions (direct):
Hf1 0.000 0.000 0.000
Hf2 0.000 0.500 0.250
Hf3 0.000 0.500 0.750
Hf4 0.500 0.000 0.250
Hf5 0.500 0.000 0.750
Hf6 0.500 0.500 0.500
Tl1 0.000 0.000 0.500
Tl2 0.500 0.500 0.000

## Properties
The formation energy comes out at 0.015 eV/atom.

---

Entry 7:
Compound: Hf11Tl3
Source: the Alexandria database
Functional: GGA-PBE
Structure: relaxed

Unit cell a=8.635 b=8.635 c=8.635 alpha=145.64 beta=116.15 gamma=74.56
Positions (direct):
Hf1 0.000 0.000 0.000
Hf2 0.119 0.281 0.838
Hf3 0.196 0.696 0.500
Hf4 0.223 0.899 0.325
Hf5 0.426 0.101 0.325
Hf6 0.442 0.281 0.162
Hf7 0.558 0.719 0.838
Hf8 0.574 0.899 0.675
Hf9 0.777 0.101 0.675
Hf10 0.804 0.304 0.500
Hf11 0.881 0.719 0.162
Tl1 0.179 0.500 0.679
Tl2 0.500 0.500 0.000
Tl3 0.821 0.500 0.321

## Properties
The formation energy comes out at 0.219 eV/atom.

---

Entry 8:
Compound: Hf2Tl
Source: the Alexandria database
Functional: GGA-PBE
Structure: relaxed

Unit cell a=4.535 b=14.433 c=4.075 alpha=90.00 beta=90.00 gamma=90.00
Positions (direct):
Hf1 0.000 0.000 0.000
Hf2 0.000 0.170 0.500
Hf3 0.000 0.500 0.500
Hf4 0.000 0.830 0.500
Hf5 0.500 0.000 0.500
Hf6 0.500 0.330 0.500
Hf7 0.500 0.500 0.000
Hf8 0.500 0.670 0.500
Tl1 0.000 0.342 0.000
Tl2 0.000 0.658 0.000
Tl3 0.500 0.158 0.000
Tl4 0.500 0.842 0.000

## Properties
The formation energy comes out at 0.082 eV/atom. Its energy above the most stable polymorph in this dataset is 74 meV/atom.

---

Entry 9:
Compound: TmHf2Tl2
Source: the Alexandria database
Functional: GGA-PBE
Structure: relaxed

Unit cell a=4.254 b=4.254 c=13.971 alpha=90.00 beta=90.00 gamma=90.00
Positions (direct):
Tm1 0.000 0.000 0.000
Tm2 0.500 0.500 0.500
Hf1 0.000 0.500 0.250
Hf2 0.000 0.500 0.750
Hf3 0.500 0.000 0.250
Hf4 0.500 0.000 0.750
Tl1 0.000 0.000 0.399
Tl2 0.000 0.000 0.601
Tl3 0.500 0.500 0.101
Tl4 0.500 0.500 0.899

## Properties
The formation energy comes out at 0.134 eV/atom.

---

Entry 10:
Compound: Tm12HfTl3
Source: the Alexandria database
Functional: GGA-PBE
Structure: relaxed

Unit cell a=4.773 b=4.773 c=19.377 alpha=90.00 beta=90.00 gamma=90.00
Positions (direct):
Tm1 0.000 0.000 0.000
Tm2 0.000 0.000 0.249
Tm3 0.000 0.000 0.500
Tm4 0.000 0.000 0.751
Tm5 0.000 0.500 0.124
Tm6 0.000 0.500 0.378
Tm7 0.000 0.500 0.622
Tm8 0.000 0.500 0.876
Tm9 0.500 0.000 0.124
Tm10 0.500 0.000 0.378
Tm11 0.500 0.000 0.622
Tm12 0.500 0.000 0.876
Hf1 0.500 0.500 0.500
Tl1 0.500 0.500 0.000
Tl2 0.500 0.500 0.247
Tl3 0.500 0.500 0.753

## Properties
The formation energy comes out at -0.105 eV/atom.

---

Entry 11:
Compound: TmHfTlZn
Source: the Alexandria database
Functional: GGA-PBE
Structure: relaxed

Unit cell a=7.065 b=7.065 c=7.065 alpha=90.00 beta=90.00 gamma=90.00
Positions (direct):
Tm1 0.000 0.000 0.000
Tm2 0.000 0.500 0.500
Tm3 0.500 0.000 0.500
Tm4 0.500 0.500 0.000
Hf1 0.000 0.000 0.500
Hf2 0.000 0.500 0.000
Hf3 0.500 0.000 0.000
Hf4 0.500 0.500 0.500
Tl1 0.250 0.250 0.750
Tl2 0.250 0.750 0.250
Tl3 0.750 0.250 0.250
Tl4 0.750 0.750 0.750
Zn1 0.250 0.250 0.250
Zn2 0.250 0.750 0.750
Zn3 0.750 0.250 0.750
Zn4 0.750 0.750 0.250

## Properties
The formation energy comes out at -0.069 eV/atom.

---

Entry 12:
Compound: Hf2UTl
Source: the Alexandria database
Functional: GGA-PBE
Structure: relaxed

Unit cell a=4.688 b=4.688 c=4.110 alpha=90.00 beta=90.00 gamma=90.00
Positions (direct):
Hf1 0.000 0.500 0.000
Hf2 0.500 0.000 0.000
U1 0.000 0.000 0.500
Tl1 0.500 0.500 0.500

## Properties
The formation energy comes out at 0.253 eV/atom. Its energy above the most stable polymorph in this dataset is 31 meV/atom.

---

Entry 13:
Compound: HfUTl
Source: the Alexandria database
Functional: GGA-PBE
Structure: relaxed

Unit cell a=8.298 b=8.298 c=8.298 alpha=33.57 beta=33.57 gamma=33.57
Positions (direct):
Hf1 0.065 0.065 0.065
Hf2 0.935 0.935 0.935
U1 0.337 0.337 0.337
U2 0.663 0.663 0.663
Tl1 0.201 0.201 0.201
Tl2 0.799 0.799 0.799

## Properties
The formation energy comes out at 0.373 eV/atom.

---

Entry 14:
Compound: Hf2UTl
Source: the Alexandria database
Functional: GGA-PBE
Structure: relaxed

Unit cell a=3.227 b=3.227 c=30.963 alpha=90.00 beta=90.00 gamma=120.00
Positions (direct):
Hf1 0.000 0.000 0.250
Hf2 0.000 0.000 0.750
Hf3 0.333 0.667 0.416
Hf4 0.333 0.667 0.917
Hf5 0.667 0.333 0.083
Hf6 0.667 0.333 0.584
U1 0.000 0.000 0.000
U2 0.333 0.667 0.667
U3 0.667 0.333 0.333
Tl1 0.000 0.000 0.500
Tl2 0.333 0.667 0.167
Tl3 0.667 0.333 0.833

## Properties
The formation energy comes out at 0.222 eV/atom. Its energy above the most stable polymorph in this dataset is 0 meV/atom.

---

Entry 15:
Compound: Hf2UTl
Source: the Alexandria database
Functional: GGA-PBE
Structure: relaxed

Unit cell a=3.615 b=3.615 c=6.861 alpha=90.00 beta=90.00 gamma=90.00
Positions (direct):
Hf1 0.000 0.000 0.237
Hf2 0.000 0.000 0.763
U1 0.500 0.500 0.000
Tl1 0.500 0.500 0.500

## Properties
The formation energy comes out at 0.298 eV/atom. Its energy above the most stable polymorph in this dataset is 76 meV/atom.

---

Entry 16:
Compound: HfTlV3
Source: the Alexandria database
Functional: GGA-PBE
Structure: relaxed

Unit cell a=4.949 b=4.949 c=4.949 alpha=90.00 beta=90.00 gamma=90.00
Positions (direct):
Hf1 0.000 0.000 0.000
Tl1 0.500 0.500 0.500
V1 0.000 0.500 0.500
V2 0.500 0.000 0.500
V3 0.500 0.500 0.000

## Properties
The formation energy comes out at 1.782 eV/atom. Its energy above the most stable polymorph in this dataset is 239 meV/atom.

---

Entry 17:
Compound: HfTlV4
Source: the Alexandria database
Functional: GGA-PBE
Structure: relaxed

Unit cell a=5.176 b=5.176 c=5.176 alpha=60.00 beta=60.00 gamma=60.00
Positions (direct):
Hf1 0.000 0.000 0.000
Tl1 0.250 0.250 0.250
V1 0.114 0.629 0.629
V2 0.629 0.114 0.629
V3 0.629 0.629 0.114
V4 0.629 0.629 0.629

## Properties
The formation energy comes out at 0.163 eV/atom.

---

Entry 18:
Compound: Hf2TlV
Source: the Alexandria database
Functional: GGA-PBE
Structure: relaxed

Unit cell a=4.104 b=4.104 c=20.607 alpha=90.00 beta=90.00 gamma=90.00
Positions (direct):
Hf1 0.242 0.250 0.125
Hf2 0.250 0.742 0.375
Hf3 0.250 0.758 0.875
Hf4 0.258 0.250 0.625
Hf5 0.742 0.750 0.625
Hf6 0.750 0.242 0.875
Hf7 0.750 0.258 0.375
Hf8 0.758 0.750 0.125
Tl1 0.000 0.000 0.500
Tl2 0.000 0.500 0.750
Tl3 0.500 0.000 0.250
Tl4 0.500 0.500 0.000
V1 0.000 0.000 0.000
V2 0.000 0.500 0.250
V3 0.500 0.000 0.750
V4 0.500 0.500 0.500

## Properties
The formation energy comes out at 0.716 eV/atom. Its energy above the most stable polymorph in this dataset is 649 meV/atom.

---

Entry 19:
Compound: Hf3TlV
Source: the Alexandria database
Functional: GGA-PBE
Structure: relaxed

Unit cell a=5.248 b=5.248 c=5.248 alpha=90.00 beta=90.00 gamma=90.00
Positions (direct):
Hf1 0.000 0.000 0.500
Hf2 0.000 0.500 0.000
Hf3 0.500 0.000 0.000
Tl1 0.000 0.000 0.000
V1 0.500 0.500 0.500

## Properties
The formation energy comes out at 1.675 eV/atom. Its energy above the most stable polymorph in this dataset is 969 meV/atom.

---

Entry 20:
Compound: Hf2TlV
Source: the Alexandria database
Functional: GGA-PBE
Structure: relaxed

Unit cell a=3.217 b=3.217 c=28.243 alpha=90.00 beta=90.00 gamma=120.00
Positions (direct):
Hf1 0.000 0.000 0.241
Hf2 0.000 0.000 0.759
Hf3 0.333 0.667 0.426
Hf4 0.333 0.667 0.908
Hf5 0.667 0.333 0.092
Hf6 0.667 0.333 0.574
Tl1 0.000 0.000 0.000
Tl2 0.333 0.667 0.667
Tl3 0.667 0.333 0.333
V1 0.000 0.000 0.500
V2 0.333 0.667 0.167
V3 0.667 0.333 0.833

## Properties
The formation energy comes out at 0.213 eV/atom. Its energy above the most stable polymorph in this dataset is 146 meV/atom.

---

Entry 21:
Compound: HfTlV3
Source: the Alexandria database
Functional: GGA-PBE
Structure: relaxed

Unit cell a=4.695 b=4.695 c=4.695 alpha=90.00 beta=90.00 gamma=90.00
Positions (direct):
Hf1 0.000 0.000 0.000
Tl1 0.500 0.500 0.500
V1 0.000 0.000 0.500
V2 0.000 0.500 0.000
V3 0.500 0.000 0.000

## Properties
The formation energy comes out at 1.543 eV/atom. Its energy above the most stable polymorph in this dataset is 0 meV/atom.

---

Entry 22:
Compound: Hf2TlV
Source: the Alexandria database
Functional: GGA-PBE
Structure: relaxed

Unit cell a=4.443 b=4.443 c=4.077 alpha=90.00 beta=90.00 gamma=90.00
Positions (direct):
Hf1 0.000 0.500 0.000
Hf2 0.500 0.000 0.000
Tl1 0.000 0.000 0.500
V1 0.500 0.500 0.500

## Properties
The formation energy comes out at 0.170 eV/atom. Its energy above the most stable polymorph in this dataset is 102 meV/atom.

---

Entry 23:
Compound: Hf2TlV
Source: the Alexandria database
Functional: GGA-PBE
Structure: relaxed

Unit cell a=3.405 b=3.405 c=6.990 alpha=90.00 beta=90.00 gamma=90.00
Positions (direct):
Hf1 0.000 0.000 0.218
Hf2 0.000 0.000 0.782
Tl1 0.500 0.500 0.500
V1 0.500 0.500 0.000

## Properties
The formation energy comes out at 0.067 eV/atom. Its energy above the most stable polymorph in this dataset is 0 meV/atom.

---

Entry 24:
Compound: HfTl2V
Source: the Alexandria database
Functional: GGA-PBE
Structure: relaxed

Unit cell a=6.966 b=6.966 c=6.966 alpha=90.00 beta=90.00 gamma=90.00
Positions (direct):
Hf1 0.000 0.000 0.000
Hf2 0.000 0.500 0.500
Hf3 0.500 0.000 0.500
Hf4 0.500 0.500 0.000
Tl1 0.250 0.250 0.250
Tl2 0.250 0.250 0.750
Tl3 0.250 0.750 0.250
Tl4 0.250 0.750 0.750
Tl5 0.750 0.250 0.250
Tl6 0.750 0.250 0.750
Tl7 0.750 0.750 0.250
Tl8 0.750 0.750 0.750
V1 0.000 0.000 0.500
V2 0.000 0.500 0.000
V3 0.500 0.000 0.000
V4 0.500 0.500 0.500

## Properties
The formation energy comes out at 0.433 eV/atom. Its energy above the most stable polymorph in this dataset is 0 meV/atom.

---

Entry 25:
Compound: Hf3TlV
Source: the Alexandria database
Functional: GGA-PBE
Structure: relaxed

Unit cell a=4.891 b=4.891 c=4.891 alpha=90.00 beta=90.00 gamma=90.00
Positions (direct):
Hf1 0.000 0.000 0.500
Hf2 0.000 0.500 0.000
Hf3 0.500 0.000 0.000
Tl1 0.500 0.500 0.500
V1 0.000 0.000 0.000

## Properties
The formation energy comes out at 0.706 eV/atom. Its energy above the most stable polymorph in this dataset is 0 meV/atom.

---

Entry 26:
Compound: HfTl2V
Source: the Alexandria database
Functional: GGA-PBE
Structure: relaxed

Unit cell a=7.722 b=7.722 c=5.976 alpha=90.00 beta=90.00 gamma=90.00
Positions (direct):
Hf1 0.000 0.000 0.000
Hf2 0.000 0.500 0.250
Hf3 0.500 0.000 0.750
Hf4 0.500 0.500 0.500
Tl1 0.230 0.250 0.625
Tl2 0.250 0.730 0.875
Tl3 0.250 0.770 0.375
Tl4 0.270 0.250 0.125
Tl5 0.730 0.750 0.125
Tl6 0.750 0.230 0.375
Tl7 0.750 0.270 0.875
Tl8 0.770 0.750 0.625
V1 0.000 0.000 0.500
V2 0.000 0.500 0.750
V3 0.500 0.000 0.250
V4 0.500 0.500 0.000

## Properties
The formation energy comes out at 0.636 eV/atom. Its energy above the most stable polymorph in this dataset is 203 meV/atom.

---

Entry 27:
Compound: Hf2TlV
Source: the Alexandria database
Functional: GGA-PBE
Structure: relaxed

Unit cell a=6.863 b=6.863 c=6.863 alpha=90.00 beta=90.00 gamma=90.00
Positions (direct):
Hf1 0.250 0.250 0.250
Hf2 0.250 0.250 0.750
Hf3 0.250 0.750 0.250
Hf4 0.250 0.750 0.750
Hf5 0.750 0.250 0.250
Hf6 0.750 0.250 0.750
Hf7 0.750 0.750 0.250
Hf8 0.750 0.750 0.750
Tl1 0.000 0.000 0.000
Tl2 0.000 0.500 0.500
Tl3 0.500 0.000 0.500
Tl4 0.500 0.500 0.000
V1 0.000 0.000 0.500
V2 0.000 0.500 0.000
V3 0.500 0.000 0.000
V4 0.500 0.500 0.500

## Properties
The formation energy comes out at 0.241 eV/atom. Its energy above the most stable polymorph in this dataset is 174 meV/atom.

---

Entry 28:
Compound: HfTl2W2
Source: the Alexandria database
Functional: GGA-PBE
Structure: relaxed

Unit cell a=8.289 b=8.289 c=2.998 alpha=90.00 beta=90.00 gamma=90.00
Positions (direct):
Hf1 0.000 0.000 0.000
Hf2 0.500 0.500 0.000
Tl1 0.183 0.317 0.000
Tl2 0.317 0.817 0.000
Tl3 0.683 0.183 0.000
Tl4 0.817 0.683 0.000
W1 0.110 0.610 0.500
W2 0.390 0.110 0.500
W3 0.610 0.890 0.500
W4 0.890 0.390 0.500

## Properties
The formation energy comes out at 0.898 eV/atom. Its energy above the most stable polymorph in this dataset is 13 meV/atom.